# 1
The following is a GGA-PBE calculation of a geometry-optimized Ca2CrWN5 structure, from the Alexandria database.

Summary:
As for the energy relative to the elements, uncorrected: -0.72 eV/atom. Its density of states at the Fermi level is 3.346 states/eV/cell.

a b c (Å): 7.2119 7.2119 10.3547
angles (deg): 90.00 90.00 154.72
Sites, in units of the cell vectors:
Ca: 0.1080 0.8920 0.5000
Ca: 0.1353 0.8647 0.1490
Ca: 0.8647 0.1353 0.6490
Ca: 0.8920 0.1080 0.0000
Cr: 0.4461 0.5539 0.2594
Cr: 0.5539 0.4461 0.7594
W: 0.2136 0.7864 0.8598
W: 0.7864 0.2136 0.3598
N: 0.0425 0.9575 0.8457
N: 0.2941 0.7059 0.4820
N: 0.3191 0.6809 0.2207
N: 0.3416 0.6584 0.8315
N: 0.5003 0.4997 0.1158
N: 0.4997 0.5003 0.6158
N: 0.6584 0.3416 0.3315
N: 0.6809 0.3191 0.7207
N: 0.7059 0.2941 0.9820
N: 0.9575 0.0425 0.3457

# 2
The following is a GGA-PBE calculation of a geometry-optimized Ca2YCrN4 structure, from the Alexandria database.

Summary:
As for the energy relative to the elements, uncorrected: -0.99 eV/atom. Its density of states at the Fermi level is 8.977 states/eV/cell.

a b c (Å): 7.2491 6.7448 5.1283
angles (deg): 90.00 90.00 90.00
Sites, in units of the cell vectors:
Ca: 0.2439 0.1618 0.0000
Ca: 0.2561 0.8382 0.5000
Ca: 0.7439 0.8382 0.5000
Ca: 0.7561 0.1618 0.0000
Y: 0.0000 0.3682 0.5046
Y: 0.5000 0.6318 0.0046
Cr: 0.0000 0.6741 0.0473
Cr: 0.5000 0.3259 0.5473
N: 0.0000 0.4069 0.9753
N: 0.0000 0.6784 0.3924
N: 0.2175 0.8016 0.9741
N: 0.2825 0.1984 0.4741
N: 0.5000 0.3216 0.8924
N: 0.5000 0.5931 0.4753
N: 0.7175 0.1984 0.4741
N: 0.7825 0.8016 0.9741

# 3
The following is a GGA-PBE calculation of a geometry-optimized Ca2ZnCrN4 structure, from the Alexandria database.

Summary:
As for the energy relative to the elements, uncorrected: -0.68 eV/atom.

a b c (Å): 6.7265 5.7384 5.6338
angles (deg): 90.00 90.00 90.00
Sites, in units of the cell vectors:
Ca: 0.2470 0.2273 0.0000
Ca: 0.2530 0.7727 0.5000
Ca: 0.7470 0.7727 0.5000
Ca: 0.7530 0.2273 0.0000
Zn: 0.0000 0.7662 0.9771
Zn: 0.5000 0.2338 0.4771
Cr: 0.0000 0.2064 0.4727
Cr: 0.5000 0.7936 0.9727
N: 0.0000 0.0471 0.7370
N: 0.0000 0.9936 0.2524
N: 0.2213 0.3667 0.4406
N: 0.2787 0.6333 0.9406
N: 0.5000 0.0064 0.7524
N: 0.5000 0.9529 0.2370
N: 0.7213 0.6333 0.9406
N: 0.7787 0.3667 0.4406

# 4
The following is a GGA-PBE calculation of a geometry-optimized CaZrCrN2 structure, from the Alexandria database.

Summary:
As for the energy relative to the elements, uncorrected: 1.88 eV/atom. Its density of states at the Fermi level is 8.422 states/eV/cell.

a b c (Å): 4.2915 4.2915 4.2332
angles (deg): 90.00 90.00 90.00
Sites, in units of the cell vectors:
Ca: 0.0000 0.0000 0.0000
Zr: 0.5000 0.5000 0.5000
Cr: 0.0000 0.0000 0.5000
N: 0.0000 0.5000 0.0000
N: 0.5000 0.0000 0.0000

Number 1: calculated density 5575 kg/m³, total magnetic moment 1.55 Bohr magnetons per cell. Number 2: calculated density 3670 kg/m³, total magnetic moment 2.00 Bohr magnetons per cell. Number 3: calculated density 3873 kg/m³, total magnetic moment 0.00 Bohr magnetons per cell. Number 4: calculated density 4501 kg/m³, total magnetic moment 0.01 Bohr magnetons per cell.